Arrangement w

## PrHoNi (GGA-PBE)

Data for a relaxed structure of PrHoNi.

Lattice parameters (Å, degrees): 3.7324 6.9383 6.5469 73.75 73.45 74.33
Element x y z (fractional)
Ho: 0.8290 0.0741 0.2683
Ho: 0.1710 0.9259 0.7317
Ni: 0.8729 0.6898 0.5650
Ni: 0.1271 0.3102 0.4350
Pr: 0.5896 0.6166 0.2053
Pr: 0.4104 0.3834 0.7947

Total magnetic moment ... 0.000 μB per formula unit

Arrangement x

## PrHoNi (GGA-PBE)

Data for a relaxed structure of PrHoNi.

Lattice parameters (Å, degrees): 3.7417 7.0376 6.3663 103.93 107.05 74.61
Element x y z (fractional)
Ni: 0.0294 0.9420 0.3962
Pr: 0.0752 0.5268 0.0726
Pr: 0.7407 0.6878 0.5648
Ho: 0.4913 0.2215 0.6000
Ho: 0.3244 0.9930 0.0374
Ni: 0.7863 0.2727 0.2410

Total magnetic moment ... 0.000 μB per formula unit

Arrangement y

## PrHoNi (GGA-PBE)

Data for a relaxed structure of PrHoNi.

Lattice parameters (Å, degrees): 3.4665 3.4665 6.7774 104.82 104.82 90.00
Element x y z (fractional)
Pr: 0.0298 0.0298 0.0596
Ni: 0.6777 0.6777 0.3555
Ho: 0.2925 0.2925 0.5850

Total magnetic moment ... 0.000 μB per formula unit

Of them, arrangement y has the lowest stability.

Arrangement w

## PrHoNi (GGA-PBE)

Data for a relaxed structure of PrHoNi.

Lattice parameters (Å, degrees): 4.8331 4.8331 4.8331 60.00 60.00 60.00
Element x y z (fractional)
Ho: 0.5000 0.5000 0.5000
Ni: 0.2500 0.2500 0.2500
Pr: 0.0000 0.0000 0.0000

Total magnetic moment ... 0.000 μB per formula unit

Arrangement x

## PrHoNi (GGA-PBE)

Data for a relaxed structure of PrHoNi.

Lattice parameters (Å, degrees): 3.4612 7.0333 6.7929 106.69 104.77 90.02
Element x y z (fractional)
Pr: 0.3102 0.4894 0.3865
Ni: 0.9312 0.8368 0.6309
Ho: 0.5691 0.1136 0.9050
Ni: 0.9466 0.2673 0.6580
Ho: 0.3087 0.9903 0.3838
Pr: 0.5677 0.6144 0.9023

Total magnetic moment ... 0.000 μB per formula unit

Of them, arrangement w has the lowest stability.

Arrangement w

## PrHo2Ni (GGA-PBE)

Data for a relaxed structure of PrHo2Ni.

Lattice parameters (Å, degrees): 3.8378 3.8378 9.2209 77.99 77.99 60.00
Element x y z (fractional)
Ho: 0.0564 0.0564 0.8308
Pr: 0.5021 0.5021 0.4938
Ho: 0.2760 0.2760 0.1718
Ni: 0.6655 0.6655 0.0036

Total magnetic moment ... 0.000 μB per formula unit

Arrangement x

## PrHo2Ni (GGA-PBE)

Data for a relaxed structure of PrHo2Ni.

Lattice parameters (Å, degrees): 3.4430 3.4430 8.8494 90.00 90.00 90.00
Element x y z (fractional)
Ni: 0.5000 0.5000 0.0000
Ho: 0.0000 0.0000 0.1803
Pr: 0.5000 0.5000 0.5000
Ho: 0.0000 0.0000 0.8197

Total magnetic moment ... 0.000 μB per formula unit

Of them, arrangement w has the lowest stability.

Arrangement w

## PrHo2Ni (GGA-PBE)

Data for a relaxed structure of PrHo2Ni.

Lattice parameters (Å, degrees): 4.8232 6.4462 7.3301 90.00 90.00 111.95
Element x y z (fractional)
Ni: 0.8044 0.6088 0.7500
Ni: 0.1956 0.3912 0.2500
Pr: 0.0390 0.0777 0.7500
Ho: 0.3450 0.6898 0.9703
Ho: 0.6550 0.3102 0.4703
Pr: 0.9610 0.9223 0.2500
Ho: 0.3450 0.6898 0.5297
Ho: 0.6550 0.3102 0.0297

Total magnetic moment ... 0.000 μB per formula unit

Arrangement x

## PrHo2Ni (GGA-PBE)

Data for a relaxed structure of PrHo2Ni.

Lattice parameters (Å, degrees): 3.7638 3.7638 9.5227 78.60 78.60 60.00
Element x y z (fractional)
Ho: 0.7239 0.7239 0.8282
Ho: 0.2761 0.2761 0.1718
Pr: 0.5000 0.5000 0.5000
Ni: 0.0000 0.0000 0.0000

Total magnetic moment ... 0.000 μB per formula unit

Of them, arrangement x has the lowest stability.

Arrangement w

## PrHo3Ni (GGA-PBE)

Data for a relaxed structure of PrHo3Ni.

Lattice parameters (Å, degrees): 5.3172 5.3172 5.3172 90.00 90.00 90.00
Element x y z (fractional)
Ho: 0.5000 0.0000 0.0000
Ni: 0.0000 0.0000 0.0000
Pr: 0.5000 0.5000 0.5000
Ho: 0.0000 0.0000 0.5000
Ho: 0.0000 0.5000 0.0000

Total magnetic moment ... 0.001 μB per formula unit

Arrangement x

## PrHo3Ni (GGA-PBE)

Data for a relaxed structure of PrHo3Ni.

Lattice parameters (Å, degrees): 5.9022 7.4707 7.4706 120.00 90.00 90.00
Element x y z (fractional)
Ho: 0.2500 0.8238 0.6477
Pr: 0.2501 0.3333 0.6666
Ni: 0.0000 0.0000 0.0000
Ho: 0.2500 0.8238 0.1761
Ni: 0.5000 0.0000 0.0000
Ho: 0.7500 0.6477 0.8239
Ho: 0.7500 0.1762 0.8239
Ho: 0.2500 0.3523 0.1761
Ho: 0.7500 0.1762 0.3523
Pr: 0.7499 0.6667 0.3334

Total magnetic moment ... 0.000 μB per formula unit

Of them, arrangement w has the lowest stability.

Arrangement w

## PrHoNi2 (GGA-PBE)

Data for a relaxed structure of PrHoNi2.

Lattice parameters (Å, degrees): 3.8026 4.2776 5.5206 90.00 110.12 90.00
Element x y z (fractional)
Ho: 0.4480 0.5000 0.4346
Ni: 0.0087 0.0000 0.5562
Ni: 0.1498 0.5000 0.8388
Pr: 0.7245 0.0000 0.9884

Total magnetic moment ... 0.000 μB per formula unit

Arrangement x

## PrHoNi2 (GGA-PBE)

Data for a relaxed structure of PrHoNi2.

Lattice parameters (Å, degrees): 4.8700 4.8700 4.8700 60.00 60.00 60.00
Element x y z (fractional)
Pr: 0.5000 0.5000 0.5000
Ni: 0.7500 0.7500 0.7500
Ho: 0.0000 0.0000 0.0000
Ni: 0.2500 0.2500 0.2500

Total magnetic moment ... 0.000 μB per formula unit

Of them, arrangement x has the lowest stability.

Arrangement w

## PrHoNiPt (GGA-PBE)

Data for a relaxed structure of PrHoNiPt.

Lattice parameters (Å, degrees): 3.9055 4.4724 5.5031 90.00 110.78 90.00
Element x y z (fractional)
Pt: 0.5737 0.5000 0.1474
Ho: 0.8629 0.5000 0.7257
Ni: 0.4201 0.0000 0.8402
Pr: 0.1433 0.0000 0.2867

Total magnetic moment ... 0.000 μB per formula unit

Arrangement x

## PrHoNiPt (GGA-PBE)

Data for a relaxed structure of PrHoNiPt.

Lattice parameters (Å, degrees): 4.9702 4.9702 4.9702 60.00 60.00 60.00
Element x y z (fractional)
Ho: 0.2500 0.2500 0.2500
Pr: 0.7500 0.7500 0.7500
Pt: 0.5000 0.5000 0.5000
Ni: 0.0000 0.0000 0.0000

Total magnetic moment ... 0.000 μB per formula unit

Of them, arrangement x has the lowest stability.

Arrangement w

## PrHoNiRh (GGA-PBE)

Data for a relaxed structure of PrHoNiRh.

Lattice parameters (Å, degrees): 3.8981 4.1206 5.7732 90.00 109.73 90.00
Element x y z (fractional)
Pr: 0.1443 0.0000 0.2886
Ho: 0.8639 0.5000 0.7279
Rh: 0.4182 0.0000 0.8364
Ni: 0.5736 0.5000 0.1471

Total magnetic moment ... 0.000 μB per formula unit

Arrangement x

## PrHoNiRh (GGA-PBE)

Data for a relaxed structure of PrHoNiRh.

Lattice parameters (Å, degrees): 4.9169 4.9169 4.9169 60.00 60.00 60.00
Element x y z (fractional)
Rh: 0.0000 0.0000 0.0000
Pr: 0.7500 0.7500 0.7500
Ni: 0.5000 0.5000 0.5000
Ho: 0.2500 0.2500 0.2500

Total magnetic moment ... 0.000 μB per formula unit

Of them, arrangement x has the lowest stability.